Below is a geometry-optimized CuSb2Pb structure, with properties calculated at the PBE-GGA level.

## Properties
The formation energy without anion corrections comes out at 0.228 eV/atom. The total energy comes out at -3.784 eV/atom. The symmetry is P4mm, No. 99. As for the density of states at the Fermi level: 0.409 states/eV per atom. For the calculated volume, the calculation gives 103.38 Å³/cell.

Cell: 3.760 3.760 7.313 Å, 90.00 90.00 90.00°
Positions (direct):
Cu 0.000 0.000 0.000
Sb 0.000 0.000 0.612
Sb 0.500 0.500 0.822
Pb 0.500 0.500 0.243